Re5Ni (meta-GGA SCAN, PBEsol geometry); theoretical density = 19.6 g/cm³; total moment = 0.002 μB/f.u.; symmetry = Cm; ΔH_f (0 K) = 0.028 eV per atom
1.0
2.755 0.000 0.000
-1.378 4.945 -0.008
0.000 -1.608 6.170
Re Ni
5 1
direct
0.665 0.330 0.331
0.719 0.438 0.946
0.053 0.107 0.615
0.391 0.783 0.270
0.338 0.677 0.669
0.000 0.000 0.002